[1]
Compound: TiHg3Au
Source: Alexandria via LeMat-Bulk
Functional: PBE-GGA
Structure: optimized geometry

As for the crystal system: cubic. The formation enthalpy at 0 K is 0.70 eV/atom. The value obtained for the excess energy over the best structure of this formula in the dataset is 14 meV per atom. The calculation puts the energy at -1.715 eV per atom.

```
TiHg3Au
1.0
-1.205 -5.214 0.702
4.222 -1.389 -3.062
3.139 -0.135 4.388
Ti Hg Au
1 3 1
Cartesian
0.000 0.000 0.000
1.569 -0.067 2.194
-0.603 -2.607 0.351
2.111 -0.694 -1.531
3.077 -3.368 1.014
```

---

[2]
Compound: LiCrH3
Source: Alexandria via LeMat-Bulk
Functional: PBE-GGA
Structure: optimized geometry

As for the crystal system: cubic. The value obtained for the excess energy over the best structure of this formula in the dataset is 66 meV per atom. The calculation puts the energy at -4.376 eV per atom.

```
LiCrH3
1.0
-1.701 2.906 -0.682
-1.898 -0.447 2.829
2.304 1.778 1.826
H Cr Li
3 1 1
Cartesian
-0.851 1.453 -0.341
-0.949 -0.223 1.415
1.152 0.889 0.913
0.000 0.000 0.000
-0.647 2.118 1.987
```

---

[3]
Compound: K3Pu2BiO9
Source: Alexandria via LeMat-Bulk
Functional: PBE-GGA
Structure: optimized geometry

As for the crystal system: trigonal. The formation energy without anion corrections is -2.1678 eV per atom. The calculation puts the energy at -7.532 eV per atom.

```
K3Pu2BiO9
1.0
-0.183 -6.078 -0.600
3.532 2.542 4.290
-5.708 -0.310 4.883
O Bi Pu K
9 1 2 3
Cartesian
-3.341 -1.913 3.884
-1.769 -3.573 5.616
-0.091 -3.039 -0.300
-3.427 -4.766 3.602
1.067 0.919 4.971
1.674 -1.768 1.845
1.766 1.271 2.145
0.982 -1.934 4.689
-0.590 -0.274 2.957
-2.854 -0.155 2.441
1.377 -0.381 3.444
-3.737 -3.465 5.129
-0.883 -3.310 2.688
0.000 0.000 0.000
-1.476 -0.537 5.885
```

---

[4]
Compound: BeBRh3
Source: Alexandria via LeMat-Bulk
Functional: PBE-GGA
Structure: optimized geometry

As for the crystal system: monoclinic. The formation enthalpy at 0 K is -0.28 eV/atom. The value obtained for the excess energy over the best structure of this formula in the dataset is 0 meV per atom. The calculation puts the energy at -6.771 eV per atom.

```
BeBRh3
1.0
3.625 0.000 0.000
0.000 5.277 -1.887
0.000 0.066 5.981
Rh B Be
6 2 2
Cartesian
1.869 3.041 3.462
0.056 2.804 -0.424
0.056 1.101 3.364
0.056 5.043 3.800
1.869 4.375 1.139
1.869 1.272 1.269
1.869 4.386 -0.982
0.056 4.966 -0.061
0.056 2.961 1.933
1.869 1.181 4.893
```

---

[5]
Compound: AgHg2IO2
Source: Alexandria via LeMat-Bulk
Functional: PBE-GGA
Structure: optimized geometry

As for the crystal system: monoclinic. The formation energy without anion corrections is -0.0658 eV per atom. The calculation puts the energy at -2.553 eV per atom.

```
AgHg2IO2
1.0
-2.072 3.633 4.223
-7.448 -0.490 -3.233
3.201 -5.408 6.222
Ag O Hg I
2 4 4 2
Cartesian
-5.631 -3.146 6.217
-0.688 0.882 0.995
-2.569 2.484 4.870
-1.582 0.753 2.858
-3.750 -4.748 2.342
-4.738 -3.017 4.355
-6.008 -0.704 3.931
-0.312 -1.560 3.281
-2.620 -2.865 3.270
-3.700 0.601 3.942
-1.054 -1.272 6.852
-5.265 -0.992 0.361
```

---

[6]
Compound: MgTi
Source: Alexandria via LeMat-Bulk
Functional: PBE-GGA
Structure: optimized geometry

As for the crystal system: orthorhombic. The formation enthalpy at 0 K is 0.17 eV/atom. The calculation puts the energy at -4.572 eV per atom.

```
MgTi
1.0
-4.061 2.348 6.590
1.247 -3.074 -7.377
0.598 -4.419 1.942
Mg Ti
3 3
Cartesian
-0.534 -1.256 -2.692
0.955 -4.681 -4.853
-2.579 -1.070 4.448
-0.865 -2.822 -0.063
1.224 -3.052 -7.319
-2.210 0.457 1.719
```

---

What did the fourth record say?
Compound: BeBRh3
Source: Alexandria via LeMat-Bulk
Functional: PBE-GGA
Structure: optimized geometry

As for the crystal system: monoclinic. The formation enthalpy at 0 K is -0.28 eV/atom. The value obtained for the excess energy over the best structure of this formula in the dataset is 0 meV per atom. The calculation puts the energy at -6.771 eV per atom.

```
BeBRh3
1.0
3.625 0.000 0.000
0.000 5.277 -1.887
0.000 0.066 5.981
Rh B Be
6 2 2
Cartesian
1.869 3.041 3.462
0.056 2.804 -0.424
0.056 1.101 3.364
0.056 5.043 3.800
1.869 4.375 1.139
1.869 1.272 1.269
1.869 4.386 -0.982
0.056 4.966 -0.061
0.056 2.961 1.933
1.869 1.181 4.893
```

---

Question: What is the energy in the fourth record?
Answer: -6.771 eV per atom

---

Question: Which of these has the highest energy?
Answer: TiHg3Au

---

Please write out number 6 again, unchanged.
Compound: MgTi
Source: Alexandria via LeMat-Bulk
Functional: PBE-GGA
Structure: optimized geometry

As for the crystal system: orthorhombic. The formation enthalpy at 0 K is 0.17 eV/atom. The calculation puts the energy at -4.572 eV per atom.

```
MgTi
1.0
-4.061 2.348 6.590
1.247 -3.074 -7.377
0.598 -4.419 1.942
Mg Ti
3 3
Cartesian
-0.534 -1.256 -2.692
0.955 -4.681 -4.853
-2.579 -1.070 4.448
-0.865 -2.822 -0.063
1.224 -3.052 -7.319
-2.210 0.457 1.719
```